The following is a DFT calculation (SCAN) of HfZrOF2 at its PBEsol-relaxed geometry.

Output
Its space-group type is P4/mmm, No. 123. For the total moment, the calculation gives 0.000 μB/cell. The volume comes out at 80.9 Å³/cell. As for the formation energy without anion corrections: -1.249 eV per atom.

Geometry as POSCAR:
```
HfZrOF2
1.0
3.750 0.000 0.000
0.000 4.646 0.000
0.000 0.000 4.646
O Zr F Hf
1 1 2 1
direct
0.000 0.000 0.000 O
0.500 0.500 0.500 Zr
0.000 0.500 0.000 F
0.000 0.000 0.500 F
0.500 0.000 0.000 Hf
```

***

The following is a DFT calculation (SCAN) of CaLa2AlMo at its PBEsol-relaxed geometry.

Output
Its space-group type is P4/mmm, No. 123. For the total moment, the calculation gives 0.000 μB/cell. The volume comes out at 150.0 Å³/cell. Its total energy is -137.60 eV per cell.

Geometry as POSCAR:
```
CaLa2AlMo
1.0
5.199 0.000 0.000
0.000 5.372 0.000
0.000 0.000 5.372
Mo Al La Ca
1 1 2 1
direct
0.000 0.000 0.000 Mo
0.500 0.000 0.000 Al
0.000 0.000 0.500 La
0.000 0.500 0.000 La
0.500 0.500 0.500 Ca
```

***

The following is a DFT calculation (SCAN) of MnCr2As at its PBEsol-relaxed geometry.

Output
Its space-group type is I-4m2, No. 119. For the total moment, the calculation gives 2.030 μB/cell. The volume comes out at 47.9 Å³/cell. Its total energy is -75.88 eV per cell.

Geometry as POSCAR:
```
MnCr2As
1.0
-2.576 -2.477 -0.834
1.884 -2.572 1.817
-1.409 3.345 2.491
Cr Mn As
2 1 1
direct
0.000 0.000 0.000 Cr
0.750 0.250 0.500 Cr
0.500 0.500 0.000 Mn
0.250 0.750 0.500 As
```

***

The following is a DFT calculation (SCAN) of ZrSc at its PBEsol-relaxed geometry.

Output
Its space-group type is Pnma, No. 62. For the total moment, the calculation gives 0.000 μB/cell. The volume comes out at 181.1 Å³/cell. Its total energy is -179.74 eV per cell.

Geometry as POSCAR:
```
ZrSc
1.0
5.070 0.000 0.000
0.000 5.564 0.000
0.000 0.000 6.418
Sc Zr
4 4
direct
0.750 0.416 0.624 Sc
0.750 0.916 0.876 Sc
0.250 0.584 0.376 Sc
0.250 0.084 0.124 Sc
0.750 0.919 0.374 Zr
0.250 0.081 0.626 Zr
0.250 0.581 0.874 Zr
0.750 0.419 0.126 Zr
```

***

The following is a DFT calculation (SCAN) of Mn2TlTcSe at its PBEsol-relaxed geometry.

Output
Its space-group type is P4/mmm, No. 123. For the total moment, the calculation gives 13.298 μB/cell. The volume comes out at 125.4 Å³/cell. As for the formation energy without anion corrections: 1.573 eV per atom.

Geometry as POSCAR:
```
Mn2TlTcSe
1.0
-1.829 -2.048 -4.048
4.347 -2.042 -0.932
-1.392 -4.225 2.767
Tc Tl Se Mn
1 1 1 2
direct
0.500 0.500 0.500 Tc
0.000 0.000 0.000 Tl
0.000 0.000 0.500 Se
0.500 0.000 0.000 Mn
0.000 0.500 0.000 Mn
```

***

The following is a DFT calculation (SCAN) of LiSbTe2 at its PBEsol-relaxed geometry.

Output
Its space-group type is P4mm, No. 99. For the total moment, the calculation gives 0.000 μB/cell. The volume comes out at 112.0 Å³/cell. As for the formation energy without anion corrections: -0.462 eV per atom.

Geometry as POSCAR:
```
LiSbTe2
1.0
-3.220 2.761 0.191
0.161 -0.105 4.241
4.043 4.718 -0.036
Te Sb Li
2 1 1
direct
0.500 0.500 0.383 Te
0.000 0.000 0.909 Te
0.500 0.500 0.825 Sb
0.000 0.000 0.383 Li
```

***

no.,N(E_F) (states/eV/atom)
1,0.50
2,0.78
3,0.50
4,1.19
5,1.10
6,0.06